# 1
Density functional theory data (PBE-GGA) for a relaxed Ca4AsAuO crystal.

Summary:
- Raw formation energy: -9.9 eV per formula unit
- Total DFT energy (no corrections): -4.400 eV per atom
- Space-group type: Cmcm

a b c (Å): 6.5764 6.5518 8.3833
angles (deg): 90.00 113.09 90.00
Fractional positions:
O1 0.2484 0.7500 0.4969
O2 0.7516 0.2500 0.5031
Au1 0.1113 0.2500 0.2225
Au2 0.8887 0.7500 0.7775
Ca1 0.9181 0.2500 0.8361
Ca2 0.5744 0.2500 0.1488
Ca3 0.0000 0.0000 0.5000
Ca4 0.0819 0.7500 0.1639
Ca5 0.5000 0.0000 0.5000
Ca6 0.0000 0.5000 0.5000
Ca7 0.5000 0.5000 0.5000
Ca8 0.4256 0.7500 0.8512
As1 0.3817 0.2500 0.7633
As2 0.6183 0.7500 0.2367


# 2
Density functional theory data (PBE-GGA) for a relaxed Ba12Ca5Bi3 crystal.

Summary:
- Total DFT energy (no corrections): -2.051 eV per atom
- ΔE_f: 0.185 eV/atom
- Space-group type: Ia-3d

a b c (Å): 18.7162 18.7162 18.7162
angles (deg): 109.47 109.47 109.47
Fractional positions:
Ca1 0.8750 0.2500 0.6250
Ca2 0.1250 0.3750 0.2500
Ca3 0.3750 0.1250 0.7500
Ca4 0.0000 0.5000 0.5000
Ca5 0.6250 0.8750 0.2500
Ca6 0.0000 0.0000 0.0000
Ca7 0.5000 0.5000 0.0000
Ca8 0.1250 0.7500 0.3750
Ca9 0.7500 0.1250 0.8750
Ca10 0.8750 0.6250 0.7500
Ca11 0.3750 0.2500 0.1250
Ca12 0.0000 0.0000 0.5000
Ca13 0.0000 0.5000 0.0000
Ca14 0.6250 0.7500 0.8750
Ca15 0.5000 0.0000 0.0000
Ca16 0.2500 0.3750 0.6250
Ca17 0.5000 0.5000 0.5000
Ca18 0.2500 0.8750 0.1250
Ca19 0.7500 0.6250 0.3750
Ca20 0.5000 0.0000 0.5000
Bi1 0.8750 0.7500 0.1250
Bi2 0.7500 0.8750 0.6250
Bi3 0.6250 0.2500 0.3750
Bi4 0.2500 0.1250 0.3750
Bi5 0.2500 0.6250 0.8750
Bi6 0.1250 0.2500 0.8750
Bi7 0.1250 0.8750 0.7500
Bi8 0.6250 0.3750 0.7500
Bi9 0.3750 0.6250 0.2500
Bi10 0.7500 0.3750 0.1250
Bi11 0.3750 0.7500 0.6250
Bi12 0.8750 0.1250 0.2500
Ba1 0.7393 0.1314 0.0749
Ba2 0.1078 0.1643 0.2393
Ba3 0.5565 0.9251 0.6643
Ba4 0.1643 0.0565 0.9251
Ba5 0.9251 0.5565 0.1643
Ba6 0.3686 0.9251 0.7607
Ba7 0.0749 0.6314 0.7393
Ba8 0.8686 0.2607 0.4251
Ba9 0.8922 0.0565 0.6314
Ba10 0.9435 0.8357 0.5749
Ba11 0.9251 0.3686 0.2607
Ba12 0.1643 0.1078 0.7393
Ba13 0.0749 0.4435 0.8357
Ba14 0.5565 0.6314 0.3922
Ba15 0.3357 0.7607 0.3922
Ba16 0.4435 0.0749 0.3357
Ba17 0.0565 0.8922 0.1314
Ba18 0.7393 0.6078 0.1643
Ba19 0.4251 0.7607 0.8686
Ba20 0.3686 0.4435 0.1078
Ba21 0.2607 0.8686 0.9251
Ba22 0.8686 0.6078 0.9435
Ba23 0.1078 0.9435 0.3686
Ba24 0.0565 0.1643 0.4251
Ba25 0.7607 0.3357 0.8922
Ba26 0.2393 0.6643 0.1078
Ba27 0.1314 0.7393 0.5749
Ba28 0.6643 0.2393 0.6078
Ba29 0.4435 0.3686 0.6078
Ba30 0.6078 0.7393 0.6643
Ba31 0.9435 0.1078 0.8686
Ba32 0.4251 0.6643 0.0565
Ba33 0.8357 0.9435 0.0749
Ba34 0.6314 0.5565 0.8922
Ba35 0.2607 0.3922 0.8357
Ba36 0.8357 0.8922 0.2607
Ba37 0.1314 0.3922 0.0565
Ba38 0.3922 0.2607 0.3357
Ba39 0.6643 0.4251 0.5565
Ba40 0.2393 0.5749 0.6314
Ba41 0.5749 0.3357 0.9435
Ba42 0.6078 0.8686 0.4435
Ba43 0.7607 0.4251 0.3686
Ba44 0.3922 0.1314 0.5565
Ba45 0.8922 0.8357 0.7607
Ba46 0.3357 0.5749 0.4435
Ba47 0.6314 0.0749 0.2393
Ba48 0.5749 0.2393 0.1314


# 3
Density functional theory data (PBE-GGA) for a relaxed NiAg3Te3S8 crystal.

Summary:
- Raw formation energy: 1.0 eV per formula unit
- Total DFT energy (no corrections): -3.719 eV per atom
- Space-group type: C2/m

a b c (Å): 7.9136 7.9029 7.6514
angles (deg): 121.33 90.00 120.04
Fractional positions:
Te1 0.0000 0.5000 0.5000
Te2 0.5000 0.0000 0.5000
Te3 0.5000 0.5000 0.5000
S1 0.7916 0.5833 0.2544
S2 0.2084 0.4167 0.7456
S3 0.2531 0.5062 0.2653
S4 0.7978 0.0083 0.2863
S5 0.7469 0.4938 0.7347
S6 0.7895 0.9917 0.7137
S7 0.2105 0.0083 0.2863
S8 0.2022 0.9917 0.7137
Ag1 0.0000 0.5000 0.0000
Ag2 0.5000 0.5000 0.0000
Ag3 0.0000 0.0000 0.0000
Ni1 0.0000 0.0000 0.5000


# 4
Density functional theory data (PBE-GGA) for a relaxed NbTeP crystal.

Summary:
- Raw formation energy: -0.8 eV per formula unit
- Total DFT energy (no corrections): -6.478 eV per atom
- Space-group type: Cm

a b c (Å): 3.4820 3.1650 13.9963
angles (deg): 90.00 100.61 90.00
Fractional positions:
Te1 0.5211 0.0000 0.1407
Te2 0.5211 0.5000 0.6407
P1 0.8454 0.0000 0.9032
P2 0.8454 0.5000 0.4032
Nb1 0.3948 0.0000 0.4702
Nb2 0.3948 0.5000 0.9702


# 5
Density functional theory data (PBE-GGA) for a relaxed CoNi2AgOs crystal.

Summary:
- Total DFT energy (no corrections): -4.946 eV per atom
- ΔE_f: 1.603 eV/atom
- Space-group type: P4/mmm

a b c (Å): 4.2009 4.5931 4.2009
angles (deg): 90.00 90.00 90.00
Fractional positions:
Os1 0.5000 0.5000 0.5000
Co1 0.0000 0.0000 0.0000
Ni1 0.5000 0.0000 0.0000
Ni2 0.0000 0.0000 0.5000
Ag1 0.0000 0.5000 0.0000


# 6
Density functional theory data (PBE-GGA) for a relaxed IrSF crystal.

Summary:
- Raw formation energy: -1.9 eV per formula unit
- Total DFT energy (no corrections): -5.572 eV per atom
- Polymorph energy (0 for the lowest one): 203 meV/atom
- Space-group type: Cm

a b c (Å): 5.7707 3.2497 5.6084
angles (deg): 90.00 90.00 90.00
Fractional positions:
F1 0.8658 0.0000 0.9340
F2 0.8658 0.5000 0.4340
Ir1 0.2076 0.5000 0.4294
Ir2 0.2076 0.0000 0.9294
S1 0.4280 0.0000 0.5957
S2 0.4280 0.5000 0.0957


# 7
Density functional theory data (PBE-GGA) for a relaxed AlMoAs2 crystal.

Summary:
- Total DFT energy (no corrections): -5.763 eV per atom
- ΔE_f: 0.205 eV/atom
- Space-group type: I-42d

a b c (Å): 5.8259 5.8259 6.9524
angles (deg): 65.23 65.23 90.00
Fractional positions:
As1 0.3750 0.3734 0.7500
As2 0.6266 0.1250 0.2500
As3 0.1234 0.6250 0.2500
As4 0.8750 0.8766 0.7500
Mo1 0.7500 0.2500 0.5000
Mo2 0.0000 0.0000 0.0000
Al1 0.2500 0.7500 0.5000
Al2 0.5000 0.5000 0.0000


# 8
Density functional theory data (PBE-GGA) for a relaxed HfFeTcMo crystal.

Summary:
- Total DFT energy (no corrections): -10.033 eV per atom
- ΔE_f: -0.130 eV/atom
- Space-group type: F-43m

a b c (Å): 4.4373 4.4373 4.4373
angles (deg): 60.00 60.00 60.00
Fractional positions:
Tc1 0.7500 0.7500 0.7500
Hf1 0.5000 0.5000 0.5000
Mo1 0.0000 0.0000 0.0000
Fe1 0.2500 0.2500 0.2500


# 9
Density functional theory data (PBE-GGA) for a relaxed Zr3CoPd crystal.

Summary:
- Total DFT energy (no corrections): -7.452 eV per atom
- ΔE_f: 0.137 eV/atom
- Polymorph energy (0 for the lowest one): 469 meV/atom
- Space-group type: Pm-3m

a b c (Å): 4.7738 4.7738 4.7738
angles (deg): 90.00 90.00 90.00
Fractional positions:
Co1 0.0000 0.0000 0.0000
Pd1 0.5000 0.5000 0.5000
Zr1 0.0000 0.0000 0.5000
Zr2 0.5000 0.0000 0.0000
Zr3 0.0000 0.5000 0.0000


# 10
Density functional theory data (PBE-GGA) for a relaxed MgMnIrW crystal.

Summary:
- Total DFT energy (no corrections): -8.214 eV per atom
- ΔE_f: -0.070 eV/atom
- Space-group type: F-43m

a b c (Å): 4.3277 4.3277 4.3277
angles (deg): 60.00 60.00 60.00
Fractional positions:
Mg1 0.0000 0.0000 0.0000
W1 0.5000 0.5000 0.5000
Ir1 0.2500 0.2500 0.2500
Mn1 0.7500 0.7500 0.7500


# 11
Density functional theory data (PBE-GGA) for a relaxed CrAs2Cl crystal.

Summary:
- Raw formation energy: 0.7 eV per formula unit
- Total DFT energy (no corrections): -5.006 eV per atom
- Polymorph energy (0 for the lowest one): 418 meV/atom
- Space-group type: P4/mmm

a b c (Å): 3.6517 3.6511 6.5448
angles (deg): 90.00 90.00 90.00
Fractional positions:
Cl1 0.5000 0.0000 0.5000
As1 0.0000 0.0000 0.0000
As2 0.5000 0.5000 0.0000
Cr1 0.0000 0.5000 0.5000


# 12
Density functional theory data (PBE-GGA) for a relaxed Li2PmAgCl6 crystal.

Summary:
- Raw formation energy: -17.0 eV per formula unit
- Total DFT energy (no corrections): -3.950 eV per atom
- Space-group type: P1

a b c (Å): 6.7232 6.7264 7.2280
angles (deg): 62.23 62.31 59.95
Fractional positions:
Li1 0.5190 0.5184 0.4440
Li2 0.0119 0.0114 0.9657
Pm1 0.3180 0.3179 0.0461
Cl1 0.7403 0.1297 0.7455
Cl2 0.1289 0.3851 0.7455
Cl3 0.8974 0.6188 0.2430
Cl4 0.3845 0.7405 0.7456
Cl5 0.2408 0.8972 0.2429
Cl6 0.6189 0.2399 0.2438
Ag1 0.8019 0.8028 0.5929